# CaZnP2S

A relaxed structure of CaZnP2S (PBE, Alexandria).

```
CaZnP2S
1.0
4.568 0.000 0.000
0.000 4.568 0.000
0.000 0.000 5.149
Zn P S Ca
1 2 1 1
Direct
0.000 0.000 0.000
0.500 0.000 0.000
0.000 0.500 0.000
0.000 0.000 0.500
0.500 0.500 0.500
```

Results
**V**: 107.4 Å³ per cell
**SG**: P4/mmm (123)
**E above lowest polymorph**: 0.000 eV/atom

# CaZnP2S

A relaxed structure of CaZnP2S (PBE, Alexandria).

```
CaZnP2S
1.0
-2.762 -2.132 3.987
-3.727 -1.572 -3.422
2.461 -4.410 -0.654
Ca P S Zn
1 2 1 1
Direct
0.000 0.000 0.000
0.000 0.500 0.000
0.500 0.000 0.000
0.000 0.000 0.500
0.500 0.500 0.500
```

Results
**V**: 143.0 Å³ per cell
**SG**: P4/mmm (123)
**E above lowest polymorph**: 0.858 eV/atom

# Ca2SbP

A relaxed structure of Ca2SbP (PBE, Alexandria).

```
Ca2SbP
1.0
5.236 0.000 0.000
2.618 4.534 0.000
2.618 1.511 4.275
Ca Sb P
2 1 1
Direct
0.250 0.250 0.250
0.000 0.000 0.000
0.750 0.750 0.750
0.500 0.500 0.500
```

Results
**V**: 101.5 Å³ per cell
**SG**: F-43m (216)
**E above lowest polymorph**: 0.662 eV/atom

# Ca2SbP

A relaxed structure of Ca2SbP (PBE, Alexandria).

```
Ca2SbP
1.0
-1.192 6.632 -3.511
-3.167 -1.890 3.612
0.242 3.321 1.960
Sb Ca P
1 2 1
Direct
0.500 0.500 0.000
0.500 0.000 0.500
0.000 0.000 0.000
0.000 0.500 0.500
```

Results
**V**: 101.0 Å³ per cell
**SG**: C2/m (12)
**E above lowest polymorph**: 0.113 eV/atom

# Ca2SbP2

A relaxed structure of Ca2SbP2 (PBE, Alexandria).

```
Ca2SbP2
1.0
3.692 0.000 0.000
0.000 3.692 0.000
1.846 1.846 8.646
Ca P Sb
2 2 1
Direct
0.619 0.619 0.762
0.381 0.381 0.238
0.750 0.250 0.500
0.250 0.750 0.500
0.000 0.000 0.000
```

Results
**V**: 117.9 Å³ per cell
**SG**: I4/mmm (139)
**E above lowest polymorph**: 0.037 eV/atom

# Ca2SbP

A relaxed structure of Ca2SbP (PBE, Alexandria).

```
Ca2SbP
1.0
4.009 -2.965 -1.700
1.903 -3.854 3.046
-0.818 -5.037 -1.307
Ca P Sb
2 1 1
Direct
0.250 0.250 0.250
0.750 0.750 0.750
0.000 0.000 0.000
0.500 0.500 0.500
```

Results
**V**: 103.4 Å³ per cell
**SG**: Fm-3m (225)
**E above lowest polymorph**: 0.159 eV/atom

# CaSb3P

A relaxed structure of CaSb3P (PBE, Alexandria).

```
CaSb3P
1.0
-0.502 5.253 -0.142
-5.201 -0.476 0.770
0.753 0.213 5.221
Ca Sb P
1 3 1
Direct
0.500 0.500 0.500
0.000 0.500 0.000
0.500 0.000 0.000
0.000 0.000 0.500
0.000 0.000 0.000
```

Results
**V**: 147.1 Å³ per cell
**SG**: Pm-3m (221)
**E above lowest polymorph**: 0.000 eV/atom

# Ca2SbP

A relaxed structure of Ca2SbP (PBE, Alexandria).

```
Ca2SbP
1.0
4.350 0.000 0.000
0.000 4.350 0.000
0.000 0.000 6.165
P Ca Sb
1 2 1
Direct
0.000 0.000 0.375
0.000 0.000 0.875
0.500 0.500 0.375
0.500 0.500 0.875
```

Results
**V**: 116.7 Å³ per cell
**SG**: P4/mmm (123)
**E above lowest polymorph**: 0.257 eV/atom

- Look up the E above lowest polymorph of the fifth one.
  0.037 eV/atom